[1]
{
  "formula": "LiSbBr4",
  "functional": "GGA-PBE",
  "state": "optimized geometry",
  "raw_formation_energy_kj_per_mol_atoms": -87,
  "dos_at_fermi_per_ev_fu": 0.00,
  "e_above_lowest_polymorph_kj_per_mol_atoms": 0.00,
  "cell": [[7.045, 0.000, 0.000], [0.000, 4.061, 0.000], [-1.375, 0.000, 7.105]],
  "species": ["Li", "Sb", "Br", "Br", "Br", "Br"],
  "fractional_positions": [[0.000, 0.000, 0.000], [0.500, 0.500, 0.000], [0.204, 0.500, 0.208], [0.291, 0.000, 0.765], [0.709, 0.000, 0.235], [0.796, 0.500, 0.792]]
}

=====

[2]
{
  "formula": "LiSb3Br",
  "functional": "GGA-PBE",
  "state": "optimized geometry",
  "raw_formation_energy_kj_per_mol_atoms": 68,
  "dos_at_fermi_per_ev_fu": 5.92,
  "e_above_lowest_polymorph_kj_per_mol_atoms": 36.64,
  "cell": [[5.584, 0.000, 0.000], [0.000, 5.584, 0.000], [0.000, 0.000, 5.584]],
  "species": ["Li", "Sb", "Sb", "Sb", "Br"],
  "fractional_positions": [[0.000, 0.000, 0.000], [0.000, 0.500, 0.500], [0.500, 0.000, 0.500], [0.500, 0.500, 0.000], [0.500, 0.500, 0.500]]
}

=====

[3]
{
  "formula": "LiSbBr",
  "functional": "GGA-PBE",
  "state": "optimized geometry",
  "raw_formation_energy_kj_per_mol_atoms": -43,
  "dos_at_fermi_per_ev_fu": 2.00,
  "e_above_lowest_polymorph_kj_per_mol_atoms": 8.72,
  "cell": [[3.535, 0.000, 0.000], [-1.768, 3.062, 0.000], [0.000, 0.000, 7.391]],
  "species": ["Li", "Sb", "Br"],
  "fractional_positions": [[0.000, 0.000, 0.000], [0.667, 0.333, 0.387], [0.333, 0.667, 0.834]]
}

=====

[4]
{
  "formula": "LiSb2Br6",
  "functional": "GGA-PBE",
  "state": "optimized geometry",
  "raw_formation_energy_kj_per_mol_atoms": -59,
  "dos_at_fermi_per_ev_fu": 3.95,
  "cell": [[6.089, -7.266, 0.000], [6.089, 7.266, 0.000], [-1.018, 0.000, 7.427]],
  "species": ["Li", "Li", "Sb", "Sb", "Sb", "Sb", "Br", "Br", "Br", "Br", "Br", "Br", "Br", "Br", "Br", "Br", "Br", "Br"],
  "fractional_positions": [[0.058, 0.942, 0.750], [0.942, 0.058, 0.250], [0.178, 0.448, 0.800], [0.448, 0.178, 0.300], [0.552, 0.822, 0.700], [0.822, 0.552, 0.200], [0.024, 0.651, 0.857], [0.056, 0.181, 0.596], [0.181, 0.056, 0.096], [0.287, 0.546, 0.524], [0.349, 0.976, 0.643], [0.454, 0.713, 0.976], [0.546, 0.287, 0.024], [0.651, 0.024, 0.357], [0.713, 0.454, 0.476], [0.819, 0.944, 0.904], [0.944, 0.819, 0.404], [0.976, 0.349, 0.143]]
}

=====

[5]
{
  "formula": "LiSbBr",
  "functional": "GGA-PBE",
  "state": "optimized geometry",
  "raw_formation_energy_kj_per_mol_atoms": -52,
  "dos_at_fermi_per_ev_fu": 1.97,
  "e_above_lowest_polymorph_kj_per_mol_atoms": 0.00,
  "cell": [[-1.707, 1.707, 6.758], [1.707, -1.707, 6.758], [1.707, 1.707, -6.758]],
  "species": ["Li", "Sb", "Br"],
  "fractional_positions": [[0.000, 0.000, 0.000], [0.331, 0.331, 0.000], [0.567, 0.567, 0.000]]
}

=====

[6]
{
  "formula": "LiSbBr2",
  "functional": "GGA-PBE",
  "state": "optimized geometry",
  "raw_formation_energy_kj_per_mol_atoms": -62,
  "dos_at_fermi_per_ev_fu": 1.36,
  "e_above_lowest_polymorph_kj_per_mol_atoms": 15.08,
  "cell": [[2.463, -2.506, 0.000], [2.463, 2.506, 0.000], [0.000, 0.000, 8.494]],
  "species": ["Li", "Sb", "Br", "Br"],
  "fractional_positions": [[0.000, 0.000, 0.000], [0.500, 0.500, 0.555], [0.000, 0.000, 0.287], [0.500, 0.500, 0.892]]
}

=====

[7]
{
  "formula": "LiSbBr2",
  "functional": "GGA-PBE",
  "state": "optimized geometry",
  "raw_formation_energy_kj_per_mol_atoms": -45,
  "dos_at_fermi_per_ev_fu": 1.46,
  "e_above_lowest_polymorph_kj_per_mol_atoms": 32.16,
  "cell": [[3.409, 0.000, 0.000], [0.000, 3.409, 0.000], [0.000, 0.000, 8.404]],
  "species": ["Li", "Sb", "Br", "Br"],
  "fractional_positions": [[0.000, 0.000, 0.000], [0.000, 0.000, 0.500], [0.500, 0.500, 0.203], [0.500, 0.500, 0.797]]
}

=====

[8]
{
  "formula": "LiSbBr2",
  "functional": "GGA-PBE",
  "state": "optimized geometry",
  "raw_formation_energy_kj_per_mol_atoms": -42,
  "dos_at_fermi_per_ev_fu": 1.49,
  "e_above_lowest_polymorph_kj_per_mol_atoms": 34.97,
  "cell": [[3.730, 0.000, 0.000], [0.000, 4.435, 0.000], [0.000, 0.000, 7.508]],
  "species": ["Li", "Sb", "Br", "Br"],
  "fractional_positions": [[0.000, 0.000, 0.000], [0.500, 0.000, 0.500], [0.000, 0.500, 0.500], [0.500, 0.500, 0.000]]
}

=====

[9]
{
  "formula": "LiSbBr2",
  "functional": "GGA-PBE",
  "state": "optimized geometry",
  "raw_formation_energy_kj_per_mol_atoms": -50,
  "dos_at_fermi_per_ev_fu": 1.99,
  "e_above_lowest_polymorph_kj_per_mol_atoms": 27.52,
  "cell": [[4.106, -4.129, 0.000], [4.106, 4.129, 0.000], [-0.130, 0.000, 3.673]],
  "species": ["Li", "Sb", "Br", "Br"],
  "fractional_positions": [[0.000, 0.000, 0.000], [0.500, 0.500, 0.000], [0.000, 0.500, 0.000], [0.500, 0.000, 0.000]]
}

=====

[10]
{
  "formula": "LiSbBr3",
  "functional": "GGA-PBE",
  "state": "optimized geometry",
  "raw_formation_energy_kj_per_mol_atoms": -49,
  "dos_at_fermi_per_ev_fu": 2.07,
  "e_above_lowest_polymorph_kj_per_mol_atoms": 34.86,
  "cell": [[5.760, 0.000, 0.000], [0.000, 5.760, 0.000], [0.000, 0.000, 5.760]],
  "species": ["Li", "Sb", "Br", "Br", "Br"],
  "fractional_positions": [[0.000, 0.000, 0.000], [0.500, 0.500, 0.500], [0.000, 0.500, 0.500], [0.500, 0.000, 0.500], [0.500, 0.500, 0.000]]
}

=====

[11]
{
  "formula": "Li2SbBr4",
  "functional": "GGA-PBE",
  "state": "optimized geometry",
  "raw_formation_energy_kj_per_mol_atoms": -85,
  "dos_at_fermi_per_ev_fu": 0.23,
  "cell": [[-3.465, 3.465, 4.215], [3.465, -3.465, 4.215], [3.465, 3.465, -4.215]],
  "species": ["Li", "Li", "Sb", "Br", "Br", "Br", "Br"],
  "fractional_positions": [[0.250, 0.750, 0.500], [0.750, 0.250, 0.500], [0.000, 0.000, 0.000], [0.152, 0.152, 0.544], [0.392, 0.848, 0.000], [0.608, 0.608, 0.456], [0.848, 0.392, 0.000]]
}

=====

[12]
{
  "formula": "LiSbBr2",
  "functional": "GGA-PBE",
  "state": "optimized geometry",
  "raw_formation_energy_kj_per_mol_atoms": -56,
  "dos_at_fermi_per_ev_fu": 1.91,
  "e_above_lowest_polymorph_kj_per_mol_atoms": 21.33,
  "cell": [[3.689, 0.000, 0.000], [0.000, 6.091, 0.000], [-1.823, 0.000, 5.584]],
  "species": ["Li", "Sb", "Br", "Br"],
  "fractional_positions": [[0.000, 0.000, 0.000], [0.334, 0.500, 0.670], [0.088, 0.500, 0.175], [0.354, 0.000, 0.705]]
}

=====

[13]
{
  "formula": "Li4SbBr",
  "functional": "GGA-PBE",
  "state": "optimized geometry",
  "raw_formation_energy_kj_per_mol_atoms": -23,
  "dos_at_fermi_per_ev_fu": 3.16,
  "cell": [[0.000, 3.930, 3.930], [3.930, 0.000, 3.930], [3.930, 3.930, 0.000]],
  "species": ["Li", "Li", "Li", "Li", "Sb", "Br"],
  "fractional_positions": [[0.121, 0.121, 0.121], [0.121, 0.121, 0.637], [0.121, 0.637, 0.121], [0.637, 0.121, 0.121], [0.750, 0.750, 0.750], [0.500, 0.500, 0.500]]
}

=====

[14]
{
  "formula": "LiSbBr2",
  "functional": "GGA-PBE",
  "state": "optimized geometry",
  "raw_formation_energy_kj_per_mol_atoms": -48,
  "dos_at_fermi_per_ev_fu": 0.89,
  "e_above_lowest_polymorph_kj_per_mol_atoms": 29.55,
  "cell": [[4.019, 0.000, 0.000], [0.000, 4.584, 0.000], [0.000, 0.000, 6.327]],
  "species": ["Li", "Sb", "Br", "Br"],
  "fractional_positions": [[0.000, 0.000, 0.000], [0.500, 0.500, 0.434], [0.000, 0.000, 0.414], [0.500, 0.500, 0.936]]
}

=====

[15]
{
  "formula": "LiSbBr2",
  "functional": "GGA-PBE",
  "state": "optimized geometry",
  "raw_formation_energy_kj_per_mol_atoms": -56,
  "dos_at_fermi_per_ev_fu": 0.61,
  "e_above_lowest_polymorph_kj_per_mol_atoms": 20.72,
  "cell": [[1.791, -3.250, 0.000], [1.791, 3.250, 0.000], [0.000, 0.000, 8.839]],
  "species": ["Li", "Sb", "Br", "Br"],
  "fractional_positions": [[0.000, 0.000, 0.000], [0.000, 0.000, 0.500], [0.500, 0.500, 0.207], [0.500, 0.500, 0.793]]
}

=====

[16]
{
  "formula": "LiSbBr2",
  "functional": "GGA-PBE",
  "state": "optimized geometry",
  "raw_formation_energy_kj_per_mol_atoms": -59,
  "dos_at_fermi_per_ev_fu": 2.13,
  "e_above_lowest_polymorph_kj_per_mol_atoms": 17.70,
  "cell": [[1.815, 1.048, 8.432], [-1.815, 1.048, 8.432], [0.000, -2.096, 8.432]],
  "species": ["Li", "Sb", "Br", "Br"],
  "fractional_positions": [[0.000, 0.000, 0.000], [0.500, 0.500, 0.500], [0.268, 0.268, 0.268], [0.732, 0.732, 0.732]]
}

=====

[17]
{
  "formula": "Li2Sb2Br",
  "functional": "GGA-PBE",
  "state": "optimized geometry",
  "raw_formation_energy_kj_per_mol_atoms": -49,
  "dos_at_fermi_per_ev_fu": 2.26,
  "e_above_lowest_polymorph_kj_per_mol_atoms": 0.00,
  "cell": [[-2.079, 2.079, 7.924], [2.079, -2.079, 7.924], [2.079, 2.079, -7.924]],
  "species": ["Li", "Li", "Sb", "Sb", "Br"],
  "fractional_positions": [[0.103, 0.103, 0.000], [0.897, 0.897, 0.000], [0.250, 0.750, 0.500], [0.750, 0.250, 0.500], [0.500, 0.500, 0.000]]
}

=====

[18]
{
  "formula": "LiSbBr3",
  "functional": "GGA-PBE",
  "state": "optimized geometry",
  "raw_formation_energy_kj_per_mol_atoms": -84,
  "e_above_lowest_polymorph_kj_per_mol_atoms": 0.00,
  "cell": [[4.218, 0.000, 0.000], [-0.538, 7.627, 0.000], [-1.154, -0.477, 10.376]],
  "species": ["Li", "Li", "Sb", "Sb", "Br", "Br", "Br", "Br", "Br", "Br"],
  "fractional_positions": [[0.000, 0.000, 0.000], [0.432, 0.507, 0.014], [0.100, 0.320, 0.367], [0.441, 0.322, 0.634], [0.338, 0.059, 0.257], [0.434, 0.576, 0.274], [0.467, 0.824, 0.950], [0.837, 0.065, 0.594], [0.902, 0.326, 0.964], [0.908, 0.577, 0.613]]
}

=====

[19]
{
  "formula": "LiSbBr",
  "functional": "GGA-PBE",
  "state": "optimized geometry",
  "raw_formation_energy_kj_per_mol_atoms": 17,
  "dos_at_fermi_per_ev_fu": 3.67,
  "e_above_lowest_polymorph_kj_per_mol_atoms": 68.30,
  "cell": [[0.000, 3.648, 3.648], [3.648, 0.000, 3.648], [3.648, 3.648, 0.000]],
  "species": ["Li", "Sb", "Br"],
  "fractional_positions": [[0.000, 0.000, 0.000], [0.250, 0.250, 0.250], [0.500, 0.500, 0.500]]
}

=====

[20]
{
  "formula": "LiSbBr2",
  "functional": "GGA-PBE",
  "state": "optimized geometry",
  "raw_formation_energy_kj_per_mol_atoms": -41,
  "dos_at_fermi_per_ev_fu": 2.45,
  "e_above_lowest_polymorph_kj_per_mol_atoms": 36.33,
  "cell": [[-2.046, 2.046, 7.903], [2.046, -2.046, 7.903], [2.046, 2.046, -7.903]],
  "species": ["Li", "Sb", "Br", "Br"],
  "fractional_positions": [[0.000, 0.000, 0.000], [0.250, 0.750, 0.500], [0.500, 0.500, 0.000], [0.750, 0.250, 0.500]]
}

=====

[21]
{
  "formula": "LiSbBr2",
  "functional": "GGA-PBE",
  "state": "optimized geometry",
  "raw_formation_energy_kj_per_mol_atoms": -47,
  "dos_at_fermi_per_ev_fu": 1.27,
  "e_above_lowest_polymorph_kj_per_mol_atoms": 30.56,
  "cell": [[3.711, 0.000, 0.000], [0.000, 4.419, 0.000], [-1.571, 0.000, 7.079]],
  "species": ["Li", "Sb", "Br", "Br"],
  "fractional_positions": [[0.000, 0.000, 0.000], [0.000, 0.000, 0.500], [0.150, 0.500, 0.776], [0.850, 0.500, 0.224]]
}

=====

[22]
{
  "formula": "LiSbBr2",
  "functional": "GGA-PBE",
  "state": "optimized geometry",
  "raw_formation_energy_kj_per_mol_atoms": -57,
  "dos_at_fermi_per_ev_fu": 1.34,
  "e_above_lowest_polymorph_kj_per_mol_atoms": 20.04,
  "cell": [[6.921, -1.746, 0.000], [6.921, 1.746, 0.000], [-1.464, 0.000, 4.787]],
  "species": ["Li", "Sb", "Br", "Br"],
  "fractional_positions": [[0.000, 0.000, 0.000], [0.736, 0.736, 0.026], [0.386, 0.386, 0.718], [0.617, 0.617, 0.363]]
}

=====

[23]
{
  "formula": "LiSbBr2",
  "functional": "GGA-PBE",
  "state": "optimized geometry",
  "raw_formation_energy_kj_per_mol_atoms": -44,
  "dos_at_fermi_per_ev_fu": 1.11,
  "e_above_lowest_polymorph_kj_per_mol_atoms": 33.02,
  "cell": [[-3.791, 3.791, 3.727], [3.791, -3.791, 3.727], [3.791, 3.791, -3.727]],
  "species": ["Li", "Li", "Sb", "Sb", "Br", "Br", "Br", "Br"],
  "fractional_positions": [[0.000, 0.000, 0.000], [0.750, 0.250, 0.500], [0.250, 0.750, 0.500], [0.500, 0.500, 0.000], [0.083, 0.125, 0.458], [0.375, 0.917, 0.042], [0.667, 0.625, 0.542], [0.875, 0.333, 0.958]]
}

=====

[24]
{
  "formula": "LiSbBr2",
  "functional": "GGA-PBE",
  "state": "optimized geometry",
  "raw_formation_energy_kj_per_mol_atoms": 2,
  "dos_at_fermi_per_ev_fu": 4.38,
  "e_above_lowest_polymorph_kj_per_mol_atoms": 78.97,
  "cell": [[0.000, 3.758, 3.758], [3.758, 0.000, 3.758], [3.758, 3.758, 0.000]],
  "species": ["Li", "Sb", "Br", "Br"],
  "fractional_positions": [[0.000, 0.000, 0.000], [0.250, 0.250, 0.250], [0.500, 0.500, 0.500], [0.750, 0.750, 0.750]]
}

=====

[25]
{
  "formula": "Li4Sb2Br9",
  "functional": "GGA-PBE",
  "state": "optimized geometry",
  "raw_formation_energy_kj_per_mol_atoms": -97,
  "cell": [[7.078, 0.000, 0.000], [-3.169, 6.393, 0.000], [-1.921, -1.038, 21.673]],
  "species": ["Li", "Li", "Li", "Li", "Li", "Li", "Li", "Li", "Sb", "Sb", "Sb", "Sb", "Br", "Br", "Br", "Br", "Br", "Br", "Br", "Br", "Br", "Br", "Br", "Br", "Br", "Br", "Br", "Br", "Br", "Br"],
  "fractional_positions": [[0.011, 0.321, 0.048], [0.121, 0.154, 0.378], [0.195, 0.494, 0.542], [0.290, 0.368, 0.867], [0.710, 0.632, 0.133], [0.805, 0.506, 0.458], [0.879, 0.846, 0.622], [0.989, 0.679, 0.952], [0.439, 0.033, 0.155], [0.489, 0.926, 0.342], [0.511, 0.074, 0.658], [0.561, 0.967, 0.845], [0.030, 0.680, 0.072], [0.123, 0.476, 0.425], [0.194, 0.029, 0.268], [0.203, 0.168, 0.594], [0.231, 0.652, 0.788], [0.317, 0.023, 0.924], [0.376, 0.328, 0.079], [0.458, 0.158, 0.435], [0.491, 0.273, 0.779], [0.509, 0.727, 0.221], [0.542, 0.842, 0.565], [0.624, 0.672, 0.921], [0.683, 0.977, 0.076], [0.769, 0.348, 0.212], [0.797, 0.832, 0.406], [0.806, 0.971, 0.732], [0.877, 0.524, 0.575], [0.970, 0.320, 0.928]]
}

=====

[26]
{
  "formula": "LiSbBr2",
  "functional": "GGA-PBE",
  "state": "optimized geometry",
  "raw_formation_energy_kj_per_mol_atoms": -47,
  "dos_at_fermi_per_ev_fu": 1.58,
  "e_above_lowest_polymorph_kj_per_mol_atoms": 30.67,
  "cell": [[-1.709, 3.624, 4.501], [1.709, -3.624, 4.501], [1.709, 3.624, -4.501]],
  "species": ["Li", "Sb", "Br", "Br"],
  "fractional_positions": [[0.000, 0.000, 0.000], [0.500, 0.500, 0.000], [0.213, 0.713, 0.500], [0.787, 0.287, 0.500]]
}

=====

[27]
{
  "formula": "LiSbBr2",
  "functional": "GGA-PBE",
  "state": "optimized geometry",
  "raw_formation_energy_kj_per_mol_atoms": -25,
  "dos_at_fermi_per_ev_fu": 3.16,
  "e_above_lowest_polymorph_kj_per_mol_atoms": 51.80,
  "cell": [[0.000, 3.732, 3.732], [3.732, 0.000, 3.732], [3.732, 3.732, 0.000]],
  "species": ["Li", "Sb", "Br", "Br"],
  "fractional_positions": [[0.000, 0.000, 0.000], [0.500, 0.500, 0.500], [0.250, 0.250, 0.250], [0.750, 0.750, 0.750]]
}